MgCoIO2: optimized geometry, GGA+U.

Results
E_tot: -3.96 eV/atom
Crystal system: tetragonal
Relative energy among the computed polymorphs: 0 meV/atom

Cell: 3.9130 3.9130 6.4371 Å, 90.00 90.00 90.00°
Atoms (fractional coordinates):
Mg 0.0000 0.0000 0.0000
Co 0.5000 0.5000 0.5000
I 0.0000 0.0000 0.5000
O 0.0000 0.5000 0.0000
O 0.5000 0.0000 0.0000